Below is an optimized crystal structure of CsNd2Te3, with properties calculated at the GGA-PBE level.

```
data_CsNd2Te3
_space_group_name_H-M_alt 'C m c m'
_space_group_IT_number 63
_space_group_name_Hall '-C 2c 2'
_cell_length_a 5.373
_cell_length_b 17.848
_cell_length_c 10.810
_cell_angle_alpha 90.00
_cell_angle_beta 90.00
_cell_angle_gamma 90.00
loop_
_atom_site_label
_atom_site_type_symbol
_atom_site_fract_x
_atom_site_fract_y
_atom_site_fract_z
Cs1 Cs 0.000 0.227 0.250
Nd1 Nd 0.000 0.000 0.000
Nd2 Nd 0.000 0.479 0.250
Te1 Te 0.000 0.101 0.750
Te2 Te 0.000 0.394 0.546
```

Properties
* electronic total energy: -109.8 eV for the cell shown
* M_tot: 1.466 μB per cell
* raw formation energy: -122.7 kJ per mole of atoms
* calculated volume: 259 Å³/f.u.
* relative energy among the computed polymorphs: 52 meV/atom